First-principles (PBE) data for a relaxed Nb3Re2Mo crystal, as listed in Alexandria.

Space group = No. 123
Formation energy from the elements = -237.6 meV/atom
E_tot = -11.23 eV per atom

abc: 3.212 3.212 9.669
angles: 90.00 90.00 90.00
Fractional positions:
1 Nb 0.000 0.000 0.000
2 Nb 0.000 0.000 0.332
3 Nb 0.000 0.000 0.668
4 Re 0.500 0.500 0.166
5 Re 0.500 0.500 0.834
6 Mo 0.500 0.500 0.500